Entry from Alexandria: crystalline Be2ZnGaSi at its relaxed geometry (PBE).

Cell: 4.1748 4.9358 4.1748 Å, 90.00 90.00 90.00°
Closest atoms and distances in Å follow each position.
Element x y z (fractional)
Be1 0.5000 0.0000 0.0000  2 Ga 2.09
Zn1 0.0000 0.5000 0.0000  2 Ga 2.47
Ga1 0.0000 0.0000 0.0000  4 Be 2.09
Si1 0.5000 0.5000 0.5000  4 Zn 2.95, 8 Be 3.23
Be2 0.0000 0.0000 0.5000  2 Ga 2.09

## Properties
E_form (uncorrected) = 0.911 eV per atom
space group = P4/mmm (123)

=====

Entry from Alexandria: crystalline BaPtSe2 at its relaxed geometry (PBE).

Cell: 3.6213 3.6213 7.3524 Å, 90.00 90.00 90.00°
Closest atoms and distances in Å follow each position.
Element x y z (fractional)
Se1 0.0000 0.0000 0.5478  4 Pt 2.96, 1 Se 2.97
Pt1 0.5000 0.5000 0.7500  8 Se 2.96
Ba1 0.5000 0.5000 0.2500  8 Se 3.37, 4 Ba 3.62, 2 Pt 3.68
Se2 0.0000 0.0000 0.9522  4 Pt 2.96, 1 Se 2.97

## Properties
E_form (uncorrected) = -0.278 eV per atom
space group = P4/mmm (123)
ΔE to the lowest computed polymorph = 795 meV per atom

=====

Entry from Alexandria: crystalline UHg3Te2Cl6 at its relaxed geometry (PBE).

Cell: 8.1456 7.1858 14.0860 Å, 90.02 90.00 90.00°
Closest atoms and distances in Å follow each position.
Element x y z (fractional)
Cl1 0.4984 0.7932 0.3456  1 U 2.63
Cl2 0.2726 0.2134 0.4240  1 U 2.63
Cl3 0.9984 0.2068 0.1544  1 U 2.63
Te1 0.0008 0.3061 0.6667  3 Hg 2.73
Te2 0.9992 0.6939 0.3332  3 Hg 2.73
Cl4 0.7274 0.7866 0.5760  1 U 2.63
Cl5 0.7323 0.2064 0.4238  1 U 2.63
Cl6 0.2677 0.7936 0.5762  1 U 2.63
Hg1 0.5000 0.5000 0.0000  2 Te 2.73
Cl7 0.2323 0.7936 0.0762  1 U 2.63
Hg2 0.7493 0.4993 0.2503  2 Te 2.73
Te3 0.4992 0.3061 0.1668  3 Hg 2.73
U1 0.0000 0.0000 0.0000  6 Cl 2.63
Cl8 0.2274 0.2134 0.9240  1 U 2.63
Hg3 0.2507 0.5007 0.7497  2 Te 2.73
U2 0.5000 0.0000 0.5000  6 Cl 2.63
Cl9 0.0016 0.7932 0.8456  1 U 2.63
Hg4 0.2493 0.5007 0.2497  2 Te 2.73
Hg5 0.0000 0.5000 0.5000  2 Te 2.73
Hg6 0.7507 0.4993 0.7503  2 Te 2.73
Cl10 0.7726 0.7866 0.0760  1 U 2.63
Te4 0.5008 0.6939 0.8332  3 Hg 2.73
Cl11 0.5016 0.2068 0.6544  1 U 2.63
Cl12 0.7677 0.2064 0.9238  1 U 2.63

## Properties
E_form (uncorrected) = -0.996 eV per atom
space group = P2_1/c (14)
ΔE to the lowest computed polymorph = 0 meV per atom

=====

Entry from Alexandria: crystalline Eu3AgP at its relaxed geometry (PBE).

Cell: 5.6371 5.6371 5.6371 Å, 90.00 90.00 90.00°
Closest atoms and distances in Å follow each position.
Element x y z (fractional)
Eu1 0.0000 0.5000 0.0000  2 P 2.82
Ag1 0.5000 0.5000 0.5000  12 Eu 3.99
Eu2 0.0000 0.0000 0.5000  2 P 2.82
Eu3 0.5000 0.0000 0.0000  2 P 2.82
P1 0.0000 0.0000 0.0000  6 Eu 2.82

## Properties
space group = Pm-3m (221)
energy relative to the elements = -0.452 eV per atom

=====

Entry from Alexandria: crystalline Sc3As at its relaxed geometry (PBE).

Cell: 3.7337 3.7311 7.0833 Å, 58.23 90.00 90.00°
Closest atoms and distances in Å follow each position.
Element x y z (fractional)
Sc1 0.0000 0.5000 0.5000  2 As 3.01, 8 Sc 3.09
Sc2 0.5000 0.7335 0.7668  5 Sc 2.81-3.09, 4 As 2.99
As1 0.0000 0.0000 0.0000  10 Sc 2.99-3.01
Sc3 0.5000 0.2665 0.2332  5 Sc 2.81-3.09, 4 As 2.99

## Properties
space group = P4/mmm (123)
energy relative to the elements = -0.551 eV per atom

=====

Entry from Alexandria: crystalline Ac3BiS at its relaxed geometry (PBE).

Cell: 5.7304 5.7304 5.7304 Å, 90.00 90.00 90.00°
Closest atoms and distances in Å follow each position.
Element x y z (fractional)
Bi1 0.5000 0.5000 0.5000  12 Ac 4.05
Ac1 0.0000 0.5000 0.0000  2 S 2.87
Ac2 0.0000 0.0000 0.5000  2 S 2.87
Ac3 0.5000 0.0000 0.0000  2 S 2.87
S1 0.0000 0.0000 0.0000  6 Ac 2.87

## Properties
E_form (uncorrected) = -0.848 eV per atom
space group = Pm-3m (221)

=====

Entry from Alexandria: crystalline Te2PBr at its relaxed geometry (PBE).

Cell: 9.1946 9.1946 9.1946 Å, 24.86 24.86 24.86°
Closest atoms and distances in Å follow each position.
Element x y z (fractional)
Te1 0.1055 0.1055 0.1055  3 P 2.81, 1 Br 2.82
Te2 0.8945 0.8945 0.8945  3 P 2.81, 1 Br 2.82
P1 0.5000 0.5000 0.5000  6 Te 2.81
Br1 0.0000 0.0000 0.0000  2 Te 2.82

## Properties
E_form (uncorrected) = 0.127 eV per atom
space group = R-3m (166)
ΔE to the lowest computed polymorph = 42 meV per atom

=====

Entry from Alexandria: crystalline NbCrIn2 at its relaxed geometry (PBE).

Cell: 4.6804 4.6804 4.6804 Å, 60.00 60.00 60.00°
Closest atoms and distances in Å follow each position.
Element x y z (fractional)
In1 0.2500 0.2500 0.2500  4 Nb 2.87, 4 Cr 2.87
Nb1 0.5000 0.5000 0.5000  8 In 2.87
Cr1 0.0000 0.0000 0.0000  8 In 2.87
In2 0.7500 0.7500 0.7500  4 Nb 2.87, 4 Cr 2.87

## Properties
space group = Fm-3m (225)
energy relative to the elements = 0.546 eV per atom
ΔE to the lowest computed polymorph = 0 meV per atom

=====

Entry from Alexandria: crystalline Na3Ho2NpTe6 at its relaxed geometry (PBE).

Cell: 7.6947 7.6947 7.9722 Å, 99.25 99.25 119.83°
Closest atoms and distances in Å follow each position.
Element x y z (fractional)
Na1 0.5000 0.5000 0.5000  6 Te 3.23-3.28
Na2 0.1660 0.8340 0.5000  6 Te 3.24-3.29
Ho1 0.6662 0.3338 0.0000  6 Te 3.09-3.10
Te1 0.9220 0.5835 0.7675  2 Ho 3.09-3.10, 1 Np 3.14, 3 Na 3.24-3.29
Te2 0.0780 0.4165 0.2325  2 Ho 3.09-3.10, 1 Np 3.14, 3 Na 3.24-3.29
Te3 0.7387 0.7387 0.2331  2 Ho 3.09, 1 Np 3.15, 3 Na 3.23-3.28
Na3 0.8340 0.1660 0.5000  6 Te 3.24-3.29
Te4 0.5835 0.9220 0.7675  2 Ho 3.09-3.10, 1 Np 3.14, 3 Na 3.24-3.29
Ho2 0.3338 0.6662 0.0000  6 Te 3.09-3.10
Te5 0.4165 0.0780 0.2325  2 Ho 3.09-3.10, 1 Np 3.14, 3 Na 3.24-3.29
Np1 0.0000 0.0000 0.0000  6 Te 3.14-3.15
Te6 0.2613 0.2613 0.7669  2 Ho 3.09, 1 Np 3.15, 3 Na 3.23-3.28

## Properties
E_form (uncorrected) = -1.135 eV per atom
space group = C2/m (12)

=====

Entry from Alexandria: crystalline CaCu2 at its relaxed geometry (PBE).

Cell: 4.8170 4.8170 5.6498 Å, 90.00 90.00 120.00°
Closest atoms and distances in Å follow each position.
Element x y z (fractional)
Cu1 0.0000 0.0000 0.0000  8 Cu 2.82-3.12, 6 Ca 3.12
Cu2 0.0000 0.0000 0.5000  8 Cu 2.82-3.12, 6 Ca 3.12
Cu3 0.3333 0.6667 0.7500  5 Ca 2.78-2.82
Ca1 0.3333 0.6667 0.2500  5 Cu 2.78-2.82
Ca2 0.6667 0.3333 0.7500  5 Cu 2.78-2.82
Cu4 0.6667 0.3333 0.2500  5 Ca 2.78-2.82

## Properties
space group = P6_3/mmc (194)
energy relative to the elements = 0.112 eV per atom

=====

Entry from Alexandria: crystalline Ho2Th2Si4Ir at its relaxed geometry (PBE).

Cell: 6.4494 6.4494 6.4494 Å, 98.43 115.26 115.26°
Closest atoms and distances in Å follow each position.
Element x y z (fractional)
Si1 0.0000 0.7534 0.2466  1 Ir 2.41
Th1 0.5000 0.7500 0.2500  8 Si 3.22, 4 Ho 3.50
Ho1 0.0000 0.3158 0.3158  1 Ir 2.66, 4 Si 2.92
Si2 0.0000 0.2466 0.7534  1 Ir 2.41
Ir1 0.0000 0.0000 0.0000  4 Si 2.41, 2 Ho 2.66
Si3 0.4932 0.2466 0.2466  1 Ir 2.41
Si4 0.5068 0.7534 0.7534  1 Ir 2.41
Th2 0.5000 0.2500 0.7500  8 Si 3.22, 4 Ho 3.50
Ho2 0.0000 0.6842 0.6842  1 Ir 2.66, 4 Si 2.92

## Properties
E_form (uncorrected) = -0.397 eV per atom
space group = I4/mmm (139)

=====

Entry from Alexandria: crystalline TaAl3Re at its relaxed geometry (PBE).

Cell: 4.8674 4.8674 4.8674 Å, 90.00 90.00 90.00°
Closest atoms and distances in Å follow each position.
Element x y z (fractional)
Re1 0.5000 0.5000 0.5000  12 Al 3.44
Al1 0.0000 0.5000 0.0000  2 Ta 2.43
Al2 0.0000 0.0000 0.5000  2 Ta 2.43
Ta1 0.0000 0.0000 0.0000  6 Al 2.43
Al3 0.5000 0.0000 0.0000  2 Ta 2.43

## Properties
space group = Pm-3m (221)
energy relative to the elements = 1.768 eV per atom
ΔE to the lowest computed polymorph = 859 meV per atom